DFT (PBE+U) results for CaFe2As2O10 after structural relaxation. Values from VASP.

DFT total energy (eV/atom): -6.1834
M_tot (μB/cell): 7.967
N(E_F) (states/eV/cell): 1.04

Structure (Quantum ESPRESSO input):
```
&SYSTEM
  ibrav = 0, nat = 15, ntyp = 4
/
ATOMIC_SPECIES
O 16.00 O.upf
Fe 55.84 Fe.upf
As 74.92 As.upf
Ca 40.08 Ca.upf
ATOMIC_POSITIONS angstrom
O 3.9559 -6.1282 -2.2188
O 3.7265 -3.3207 -1.9503
O 5.4202 -8.1139 -2.4877
O 1.6216 -4.9885 -1.0969
O 4.1823 -5.1042 0.3406
O 5.9275 -6.4639 1.9879
O 4.4118 -7.9117 0.0722
O 2.7180 -3.1185 0.6096
O 6.5166 -6.2439 -0.7812
O 2.2107 -4.7685 -3.8661
Fe 4.4561 -3.1072 -0.0576
Fe 2.2046 -4.8912 0.8553
As 5.3047 -6.4707 0.4385
As 2.8336 -4.7617 -2.3166
Ca 0.0000 0.0000 0.0000
CELL_PARAMETERS angstrom
-0.7740 -5.0180 -1.7630
3.7290 -1.4501 -3.5888
5.1833 -4.7643 3.4736
```